Record 1
DFT (PBE-GGA) results for an optimized crystal structure of SrMn2AsPb.

Cell: 4.5862 4.5862 5.6855 Å, 90.00 90.00 90.00°
Last column: nearest neighbours and their distance in Å.
Fractional coordinates of all 5 atoms:
Sr: 0.0000 0.0000 0.0000  2 As 2.84
Mn: 0.0000 0.5000 0.5000  2 As 2.29
Mn: 0.5000 0.0000 0.5000  2 As 2.29
As: 0.0000 0.0000 0.5000  4 Mn 2.29
Pb: 0.5000 0.5000 0.0000  4 Sr 3.24

Results
For the total energy, the calculation gives -5.01 eV/atom. The calculation puts the density of states at the Fermi level at 2.093 states/eV/atom. For the formation energy, the calculation gives 3.3 eV per formula unit. For the total magnetic moment, the calculation gives 0.787 μB per formula unit.

Record 2
DFT (PBE-GGA) results for an optimized crystal structure of MnTlAsPb2.

Cell: 5.7761 5.7761 5.1266 Å, 90.00 90.00 90.00°
Last column: nearest neighbours and their distance in Å.
Fractional coordinates of all 5 atoms:
Mn: 0.0000 0.0000 0.0000  2 Tl 2.56
Tl: 0.0000 0.0000 0.5000  2 Mn 2.56
As: 0.5000 0.5000 0.0000  8 Pb 3.86, 4 Mn 4.08
Pb: 0.0000 0.5000 0.5000  2 Tl 2.89
Pb: 0.5000 0.0000 0.5000  2 Tl 2.89

Results
For the total energy, the calculation gives -3.74 eV/atom. The calculation puts the density of states at the Fermi level at 0.592 states/eV/atom. For the formation energy, the calculation gives 4.9 eV per formula unit. For the total magnetic moment, the calculation gives 4.553 μB per formula unit.

Record 3
DFT (PBE-GGA) results for an optimized crystal structure of MnAsPd2.

Cell: 3.3363 3.3363 5.6111 Å, 90.00 90.00 90.00°
Last column: nearest neighbours and their distance in Å.
Fractional coordinates of all 4 atoms:
Mn: 0.0000 0.0000 0.0000  8 Pd 2.74, 2 As 2.81
As: 0.0000 0.0000 0.5000  8 Pd 2.75, 2 Mn 2.81
Pd: 0.5000 0.5000 0.2469  4 Mn 2.74, 4 As 2.75, 2 Pd 2.77-2.84
Pd: 0.5000 0.5000 0.7531  4 Mn 2.74, 4 As 2.75, 2 Pd 2.77-2.84

Results
For the total energy, the calculation gives -6.28 eV/atom. The calculation puts the density of states at the Fermi level at 0.450 states/eV/atom. For the formation energy, the calculation gives -0.9 eV per formula unit. For the total magnetic moment, the calculation gives 3.882 μB per formula unit.

Record 4
DFT (PBE-GGA) results for an optimized crystal structure of MnAs2Pd3.

Cell: 7.3231 7.3231 7.3231 Å, 135.06 64.17 136.70°
Last column: nearest neighbours and their distance in Å.
Fractional coordinates of all 12 atoms:
Mn: 0.2500 0.2500 0.0000  4 As 2.38
Mn: 0.7500 0.7500 0.0000  4 As 2.38
As: 0.1232 0.2207 0.3439  2 Mn 2.38, 4 Pd 2.46-2.62
As: 0.3768 0.7207 0.0975  2 Mn 2.38, 4 Pd 2.46-2.62
As: 0.6232 0.2793 0.9025  2 Mn 2.38, 4 Pd 2.46-2.62
As: 0.8768 0.7793 0.6561  2 Mn 2.38, 4 Pd 2.46-2.62
Pd: 0.1798 0.7689 0.9487  2 As 2.46-2.62
Pd: 0.2500 0.7500 0.5000  4 As 2.57, 2 Pd 2.70, 2 Mn 2.80
Pd: 0.3202 0.2689 0.5892  2 As 2.46-2.62
Pd: 0.6798 0.7311 0.4108  2 As 2.46-2.62
Pd: 0.7500 0.2500 0.5000  4 As 2.57, 2 Pd 2.70, 2 Mn 2.80
Pd: 0.8202 0.2311 0.0513  2 As 2.46-2.62

Results
For the total energy, the calculation gives -5.96 eV/atom. The calculation puts the density of states at the Fermi level at 0.627 states/eV/atom. For the formation energy, the calculation gives -1.7 eV per formula unit. For the total magnetic moment, the calculation gives 1.198 μB per formula unit.

Record 5
DFT (PBE-GGA) results for an optimized crystal structure of Mn5As2Pd12.

Cell: 7.3505 7.3505 5.7266 Å, 92.57 92.57 68.90°
Last column: nearest neighbours and their distance in Å.
Fractional coordinates of all 19 atoms:
Mn: 0.0000 0.0000 0.0000  6 Pd 2.60-2.67, 2 Mn 2.88
Mn: 0.2378 0.2378 0.0093  1 Mn 2.55, 7 Pd 2.79-2.84
Mn: 0.3216 0.3216 0.6096  1 Mn 2.55, 9 Pd 2.65-2.80
Mn: 0.6784 0.6784 0.3904  1 Mn 2.55, 9 Pd 2.65-2.80
Mn: 0.7622 0.7622 0.9907  1 Mn 2.55, 7 Pd 2.79-2.84
As: 0.2511 0.7489 0.5000  8 Pd 2.52-2.60
As: 0.7489 0.2511 0.5000  8 Pd 2.52-2.60
Pd: 0.0579 0.5584 0.3063  1 As 2.52, 4 Mn 2.66-2.79, 5 Pd 2.68-2.78
Pd: 0.1171 0.1171 0.4093  2 As 2.59, 3 Mn 2.67-2.79, 4 Pd 2.76-2.78
Pd: 0.1634 0.6321 0.8862  1 As 2.60, 4 Mn 2.60-2.86, 6 Pd 2.68-2.88
Pd: 0.3679 0.8366 0.1138  1 As 2.60, 4 Mn 2.60-2.86, 6 Pd 2.68-2.88
Pd: 0.4416 0.9421 0.6937  1 As 2.52, 4 Mn 2.66-2.79, 5 Pd 2.68-2.78
Pd: 0.4549 0.4549 0.2419  2 As 2.58, 3 Mn 2.72-2.88, 6 Pd 2.77-2.88
Pd: 0.5451 0.5451 0.7581  2 As 2.58, 3 Mn 2.72-2.88, 6 Pd 2.77-2.88
Pd: 0.5584 0.0579 0.3063  1 As 2.52, 4 Mn 2.66-2.79, 5 Pd 2.68-2.78
Pd: 0.6321 0.1634 0.8862  1 As 2.60, 4 Mn 2.60-2.86, 6 Pd 2.68-2.88
Pd: 0.8366 0.3679 0.1138  1 As 2.60, 4 Mn 2.60-2.86, 6 Pd 2.68-2.88
Pd: 0.8829 0.8829 0.5907  2 As 2.59, 3 Mn 2.67-2.79, 4 Pd 2.76-2.78
Pd: 0.9421 0.4416 0.6937  1 As 2.52, 4 Mn 2.66-2.79, 5 Pd 2.68-2.78

Results
For the total energy, the calculation gives -6.13 eV/atom. The calculation puts the density of states at the Fermi level at 1.020 states/eV/atom. For the formation energy, the calculation gives 1.0 eV per formula unit. For the total magnetic moment, the calculation gives 8.772 μB per formula unit.

Record 6
DFT (PBE-GGA) results for an optimized crystal structure of MnAsPd2.

Cell: 4.0009 4.0009 3.8652 Å, 90.00 90.00 90.00°
Last column: nearest neighbours and their distance in Å.
Fractional coordinates of all 4 atoms:
Mn: 0.0000 0.0000 0.0000  8 Pd 2.78, 4 As 2.83
As: 0.5000 0.5000 0.0000  8 Pd 2.78, 4 Mn 2.83
Pd: 0.0000 0.5000 0.5000  4 As 2.78, 4 Mn 2.78, 4 Pd 2.83
Pd: 0.5000 0.0000 0.5000  4 As 2.78, 4 Mn 2.78, 4 Pd 2.83

Results
For the total energy, the calculation gives -6.25 eV/atom. The calculation puts the density of states at the Fermi level at 0.705 states/eV/atom. For the formation energy, the calculation gives -0.8 eV per formula unit. For the total magnetic moment, the calculation gives 4.202 μB per formula unit.

Record 7
DFT (PBE-GGA) results for an optimized crystal structure of MnAsPd2.

Cell: 9.3696 9.3696 9.3696 Å, 156.37 156.37 33.66°
Last column: nearest neighbours and their distance in Å.
Fractional coordinates of all 8 atoms:
Mn: 0.0000 0.0000 0.0000  4 Pd 2.63, 4 As 2.71
Mn: 0.7500 0.2500 0.5000  4 Pd 2.63, 4 As 2.71
As: 0.2500 0.7500 0.5000  4 Pd 2.61, 4 Mn 2.71
As: 0.5000 0.5000 0.0000  4 Pd 2.61, 4 Mn 2.71
Pd: 0.1293 0.6250 0.0043  2 As 2.61, 2 Mn 2.63, 4 Pd 2.69-2.74
Pd: 0.3750 0.3793 0.5043  2 As 2.61, 2 Mn 2.63, 4 Pd 2.69-2.74
Pd: 0.6207 0.1250 0.9957  2 As 2.61, 2 Mn 2.63, 4 Pd 2.69-2.74
Pd: 0.8750 0.8707 0.4957  2 As 2.61, 2 Mn 2.63, 4 Pd 2.69-2.74

Results
For the total energy, the calculation gives -6.14 eV/atom. The calculation puts the density of states at the Fermi level at 0.449 states/eV/atom. For the formation energy, the calculation gives -0.3 eV per formula unit. For the total magnetic moment, the calculation gives 3.833 μB per formula unit.

Record 8
DFT (PBE-GGA) results for an optimized crystal structure of MnAsPd14.

Cell: 9.0774 5.5391 5.5391 Å, 61.87 90.00 90.00°
Last column: nearest neighbours and their distance in Å.
Fractional coordinates of all 16 atoms:
Mn: 0.0000 0.0000 0.0000  10 Pd 2.65-2.86, 2 As 2.85
As: 0.0000 0.4986 0.4986  10 Pd 2.63-2.92, 2 Mn 2.85
Pd: 0.0000 0.0128 0.5068  2 As 2.67-2.87, 2 Mn 2.70-2.84, 8 Pd 2.75-2.88
Pd: 0.0000 0.5068 0.0128  2 As 2.67-2.87, 2 Mn 2.70-2.84, 8 Pd 2.75-2.88
Pd: 0.2359 0.3178 0.8092  1 As 2.63, 1 Mn 2.65, 10 Pd 2.75-2.92
Pd: 0.2359 0.8092 0.3178  1 As 2.63, 1 Mn 2.65, 10 Pd 2.75-2.92
Pd: 0.2505 0.8176 0.8176  11 Pd 2.75-2.85, 1 Mn 2.86
Pd: 0.2548 0.3113 0.3113  11 Pd 2.74-2.85, 1 As 2.92
Pd: 0.5000 0.1327 0.1327  12 Pd 2.73-2.88
Pd: 0.5000 0.1387 0.6365  12 Pd 2.73-2.92
Pd: 0.5000 0.6365 0.1387  12 Pd 2.73-2.92
Pd: 0.5000 0.6371 0.6371  12 Pd 2.76-2.86
Pd: 0.7452 0.3113 0.3113  11 Pd 2.74-2.85, 1 As 2.92
Pd: 0.7495 0.8176 0.8176  11 Pd 2.75-2.85, 1 Mn 2.86
Pd: 0.7641 0.3178 0.8092  1 As 2.63, 1 Mn 2.65, 10 Pd 2.75-2.92
Pd: 0.7641 0.8092 0.3178  1 As 2.63, 1 Mn 2.65, 10 Pd 2.75-2.92

Results
For the total energy, the calculation gives -5.51 eV/atom. The calculation puts the density of states at the Fermi level at 1.477 states/eV/atom. For the formation energy, the calculation gives -1.6 eV per formula unit. For the total magnetic moment, the calculation gives 4.789 μB per formula unit.